[1]
Here is crystalline Na2ZnCd4 at its relaxed geometry from Alexandria via LeMat-Bulk. Energies are from PBE.

Summary:
* calculated formation energy: 0.45 eV per formula unit

Cell lengths 5.460, 16.412, 4.687 Å; angles 90.00, 90.00, 90.00 degrees
Sites, in units of the cell vectors:
Na: 0.000 0.175 0.000
Na: 0.000 0.825 0.000
Na: 0.500 0.325 0.000
Na: 0.500 0.675 0.000
Zn: 0.000 0.500 0.500
Zn: 0.500 0.000 0.500
Cd: 0.000 0.306 0.500
Cd: 0.000 0.412 0.000
Cd: 0.000 0.588 0.000
Cd: 0.000 0.694 0.500
Cd: 0.500 0.088 0.000
Cd: 0.500 0.194 0.500
Cd: 0.500 0.806 0.500
Cd: 0.500 0.912 0.000

***

[2]
Here is crystalline Nd6SmN5 at its relaxed geometry from Alexandria via LeMat-Bulk. Energies are from PBE.

Summary:
* energy relative to the elements, uncorrected: -0.807 eV per atom

Cell lengths 6.697, 6.697, 12.729 Å; angles 90.00, 90.00, 120.00 degrees
Sites, in units of the cell vectors:
Nd: 0.000 0.397 0.117
Nd: 0.000 0.397 0.383
Nd: 0.000 0.603 0.617
Nd: 0.000 0.603 0.883
Nd: 0.397 0.000 0.117
Nd: 0.397 0.000 0.383
Nd: 0.397 0.397 0.617
Nd: 0.397 0.397 0.883
Nd: 0.603 0.000 0.617
Nd: 0.603 0.000 0.883
Nd: 0.603 0.603 0.117
Nd: 0.603 0.603 0.383
Sm: 0.000 0.000 0.250
Sm: 0.000 0.000 0.750
N: 0.000 0.343 0.750
N: 0.000 0.657 0.250
N: 0.333 0.667 0.000
N: 0.333 0.667 0.500
N: 0.343 0.000 0.750
N: 0.343 0.343 0.250
N: 0.657 0.000 0.250
N: 0.657 0.657 0.750
N: 0.667 0.333 0.000
N: 0.667 0.333 0.500

***

[3]
Here is crystalline Ta2TiCdPd at its relaxed geometry from Alexandria via LeMat-Bulk. Energies are from PBE.

Summary:
* calculated formation energy: 5.30 eV per formula unit

Cell lengths 4.712, 4.712, 4.748 Å; angles 90.00, 90.00, 90.00 degrees
Sites, in units of the cell vectors:
Ta: 0.000 0.500 0.000
Ta: 0.500 0.000 0.000
Ti: 0.000 0.000 0.000
Cd: 0.500 0.500 0.500
Pd: 0.000 0.000 0.500

***

[4]
Here is crystalline PuGa9Ni2 at its relaxed geometry from Alexandria via LeMat-Bulk. Energies are from PBE.

Summary:
* calculated formation energy: -2.39 eV per formula unit

Cell lengths 8.232, 8.232, 8.232 Å; angles 101.68, 101.68, 126.51 degrees
Sites, in units of the cell vectors:
Pu: 0.375 0.625 0.750
Pu: 0.625 0.375 0.250
Ga: 0.125 0.875 0.250
Ga: 0.128 0.559 0.326
Ga: 0.128 0.802 0.569
Ga: 0.198 0.267 0.326
Ga: 0.198 0.872 0.931
Ga: 0.267 0.198 0.826
Ga: 0.267 0.441 0.069
Ga: 0.441 0.267 0.569
Ga: 0.441 0.872 0.174
Ga: 0.559 0.128 0.826
Ga: 0.559 0.733 0.431
Ga: 0.733 0.559 0.931
Ga: 0.733 0.802 0.174
Ga: 0.802 0.128 0.069
Ga: 0.802 0.733 0.674
Ga: 0.872 0.198 0.431
Ga: 0.872 0.441 0.674
Ga: 0.875 0.125 0.750
Ni: 0.000 0.000 0.000
Ni: 0.000 0.000 0.500
Ni: 0.000 0.500 0.000
Ni: 0.500 0.000 0.500

***

[5]
Here is crystalline TaSiSn2Ru at its relaxed geometry from Alexandria via LeMat-Bulk. Energies are from PBE.

Summary:
* energy relative to the elements, uncorrected: 0.939 eV per atom

Cell lengths 5.177, 5.177, 4.488 Å; angles 90.00, 90.00, 90.00 degrees
Sites, in units of the cell vectors:
Ta: 0.000 0.000 0.000
Si: 0.500 0.500 0.000
Sn: 0.000 0.500 0.500
Sn: 0.500 0.000 0.500
Ru: 0.500 0.500 0.500

***

[6]
Here is crystalline AsNCl at its relaxed geometry from Alexandria via LeMat-Bulk. Energies are from PBE.

Summary:
* offset from the most stable computed form: 0.002 eV/atom
* energy relative to the elements, uncorrected: 0.227 eV per atom

Cell lengths 10.781, 3.086, 9.000 Å; angles 90.00, 120.59, 90.00 degrees
Sites, in units of the cell vectors:
As: 0.000 0.000 0.000
As: 0.203 0.000 0.714
As: 0.500 0.500 0.000
As: 0.703 0.500 0.714
N: 0.017 0.500 0.140
N: 0.293 0.500 0.859
N: 0.517 0.000 0.140
N: 0.793 0.000 0.859
Cl: 0.331 0.000 0.578
Cl: 0.414 0.000 0.239
Cl: 0.831 0.500 0.578
Cl: 0.914 0.500 0.239

***

[7]
Here is crystalline PaTiTc2 at its relaxed geometry from Alexandria via LeMat-Bulk. Energies are from PBE.

Summary:
* calculated formation energy: -1.39 eV per formula unit
* offset from the most stable computed form: 0.000 eV/atom

Cell lengths 6.555, 6.555, 6.555 Å; angles 90.00, 90.00, 90.00 degrees
Sites, in units of the cell vectors:
Pa: 0.000 0.000 0.000
Pa: 0.000 0.500 0.500
Pa: 0.500 0.000 0.500
Pa: 0.500 0.500 0.000
Ti: 0.000 0.000 0.500
Ti: 0.000 0.500 0.000
Ti: 0.500 0.000 0.000
Ti: 0.500 0.500 0.500
Tc: 0.250 0.250 0.250
Tc: 0.250 0.250 0.750
Tc: 0.250 0.750 0.250
Tc: 0.250 0.750 0.750
Tc: 0.750 0.250 0.250
Tc: 0.750 0.250 0.750
Tc: 0.750 0.750 0.250
Tc: 0.750 0.750 0.750

***

[8]
Here is crystalline LaBeRe2 at its relaxed geometry from Alexandria via LeMat-Bulk. Energies are from PBE.

Summary:
* calculated formation energy: 1.02 eV per formula unit

Cell lengths 3.159, 4.165, 5.848 Å; angles 90.00, 103.93, 90.00 degrees
Sites, in units of the cell vectors:
La: 0.000 0.000 0.000
Be: 0.388 0.500 0.744
Re: 0.297 0.000 0.510
Re: 0.751 0.500 0.443

***

[9]
Here is crystalline Re2TeSe at its relaxed geometry from Alexandria via LeMat-Bulk. Energies are from PBE.

Summary:
* offset from the most stable computed form: 0.162 eV/atom
* energy relative to the elements, uncorrected: 0.387 eV per atom

Cell lengths 2.974, 3.943, 7.403 Å; angles 90.00, 90.81, 90.00 degrees
Sites, in units of the cell vectors:
Re: 0.000 0.000 0.000
Re: 0.482 0.500 0.136
Te: 0.720 0.000 0.379
Se: 0.264 0.500 0.797

***

[10]
Here is crystalline Ta2NiPt at its relaxed geometry from Alexandria via LeMat-Bulk. Energies are from PBE.

Summary:
* calculated formation energy: -1.61 eV per formula unit

Cell lengths 2.796, 3.994, 5.567 Å; angles 90.00, 90.49, 90.00 degrees
Sites, in units of the cell vectors:
Ta: 0.003 0.000 0.257
Ta: 0.997 0.000 0.743
Ni: 0.500 0.500 0.500
Pt: 0.500 0.500 0.000

***

[11]
Here is crystalline LaGa2MoPb at its relaxed geometry from Alexandria via LeMat-Bulk. Energies are from PBE.

Summary:
* calculated formation energy: 5.95 eV per formula unit

Cell lengths 5.671, 5.671, 4.933 Å; angles 90.00, 90.00, 90.00 degrees
Sites, in units of the cell vectors:
La: 0.000 0.000 0.000
Ga: 0.000 0.500 0.000
Ga: 0.500 0.000 0.000
Mo: 0.000 0.000 0.500
Pb: 0.500 0.500 0.500

***

[12]
Here is crystalline Zr5Co2Bi2 at its relaxed geometry from Alexandria via LeMat-Bulk. Energies are from PBE.

Summary:
* calculated formation energy: -2.94 eV per formula unit

Cell lengths 8.227, 8.227, 7.382 Å; angles 90.00, 90.00, 52.42 degrees
Sites, in units of the cell vectors:
Zr: 0.000 0.000 0.000
Zr: 0.047 0.735 0.663
Zr: 0.235 0.547 0.163
Zr: 0.265 0.953 0.663
Zr: 0.453 0.765 0.163
Zr: 0.500 0.500 0.500
Zr: 0.547 0.235 0.837
Zr: 0.735 0.047 0.337
Zr: 0.765 0.453 0.837
Zr: 0.953 0.265 0.337
Co: 0.133 0.867 0.374
Co: 0.367 0.633 0.874
Co: 0.633 0.367 0.126
Co: 0.867 0.133 0.626
Bi: 0.211 0.211 0.000
Bi: 0.289 0.289 0.500
Bi: 0.711 0.711 0.500
Bi: 0.789 0.789 0.000